{"formula": "P4WO12", "functional": "PBE+U", "state": "optimized geometry", "lattice_angstrom": [[13.298, 0.000, 0.000], [0.000, 8.234, 0.000], [0.000, 0.000, 9.525]], "species": ["P", "P", "P", "P", "P", "P", "P", "P", "P", "P", "P", "P", "P", "P", "P", "P", "W", "W", "W", "W", "O", "O", "O", "O", "O", "O", "O", "O", "O", "O", "O", "O", "O", "O", "O", "O", "O", "O", "O", "O", "O", "O", "O", "O", "O", "O", "O", "O", "O", "O", "O", "O", "O", "O", "O", "O", "O", "O", "O", "O", "O", "O", "O", "O", "O", "O", "O", "O"], "frac_coords": [[0.149, 0.036, 0.016], [0.149, 0.328, 0.506], [0.149, 0.672, 0.006], [0.149, 0.964, 0.516], [0.351, 0.172, 0.006], [0.351, 0.464, 0.516], [0.351, 0.536, 0.016], [0.351, 0.828, 0.506], [0.649, 0.172, 0.494], [0.649, 0.464, 0.984], [0.649, 0.536, 0.484], [0.649, 0.828, 0.994], [0.851, 0.036, 0.484], [0.851, 0.328, 0.994], [0.851, 0.672, 0.494], [0.851, 0.964, 0.984], [0.000, 0.152, 0.750], [0.000, 0.848, 0.250], [0.500, 0.348, 0.250], [0.500, 0.652, 0.750], [0.070, 0.029, 0.131], [0.070, 0.971, 0.631], [0.075, 0.319, 0.629], [0.075, 0.681, 0.129], [0.119, 0.132, 0.887], [0.119, 0.868, 0.387], [0.127, 0.422, 0.380], [0.127, 0.578, 0.880], [0.180, 0.140, 0.466], [0.180, 0.860, 0.966], [0.246, 0.116, 0.083], [0.246, 0.884, 0.583], [0.254, 0.384, 0.583], [0.254, 0.616, 0.083], [0.320, 0.360, 0.966], [0.320, 0.640, 0.466], [0.373, 0.078, 0.880], [0.373, 0.922, 0.380], [0.381, 0.368, 0.387], [0.381, 0.632, 0.887], [0.425, 0.181, 0.129], [0.425, 0.819, 0.629], [0.430, 0.471, 0.631], [0.430, 0.529, 0.131], [0.570, 0.471, 0.869], [0.570, 0.529, 0.369], [0.575, 0.181, 0.371], [0.575, 0.819, 0.871], [0.619, 0.368, 0.113], [0.619, 0.632, 0.613], [0.627, 0.078, 0.620], [0.627, 0.922, 0.120], [0.680, 0.360, 0.534], [0.680, 0.640, 0.034], [0.746, 0.384, 0.917], [0.746, 0.616, 0.417], [0.754, 0.116, 0.417], [0.754, 0.884, 0.917], [0.820, 0.140, 0.034], [0.820, 0.860, 0.534], [0.873, 0.422, 0.120], [0.873, 0.578, 0.620], [0.881, 0.132, 0.613], [0.881, 0.868, 0.113], [0.925, 0.319, 0.871], [0.925, 0.681, 0.371], [0.930, 0.029, 0.369], [0.930, 0.971, 0.869]], "n_ef_per_ev_cell": 0.0, "relative_energy_kj_per_mol_atoms": 1.0, "volume_a3_per_cell": 1043.0}